DFT (PBEsol) results for a geometry-optimized CaLa2 structure.

Summary:
Its space group is Cm (8). As for the volume: 216 Å³/cell. For the density of states at the Fermi level, the calculation gives 4.53 states/eV/f.u. For the formation energy, the calculation gives 0.0674 eV per atom.

abc: 7.162 7.162 8.781
angles: 105.17 105.17 29.92
Sites, in units of the cell vectors:
Ca (0.000, 0.000, 0.000)
Ca (0.658, 0.658, 0.335)
La (0.283, 0.283, 0.054)
La (0.331, 0.331, 0.666)
La (0.618, 0.618, 0.729)
La (0.930, 0.930, 0.406)



DFT (PBEsol) results for a geometry-optimized Ca3La structure.

Summary:
Its space group is Pmm2 (25). As for the volume: 154 Å³/cell. For the density of states at the Fermi level, the calculation gives 5.66 states/eV/f.u. For the formation energy, the calculation gives 0.0802 eV per atom.

abc: 3.741 6.187 6.638
angles: 90.00 90.00 90.00
Sites, in units of the cell vectors:
Ca (0.000, 0.000, 0.000)
Ca (0.000, 0.500, 0.334)
Ca (0.500, 0.000, 0.510)
La (0.500, 0.500, 0.833)



DFT (PBEsol) results for a geometry-optimized CaLa2 structure.

Summary:
Its space group is Cmcm (63). As for the volume: 218 Å³/cell. For the density of states at the Fermi level, the calculation gives 4.96 states/eV/f.u. For the formation energy, the calculation gives 0.0587 eV per atom.

abc: 10.080 10.080 6.002
angles: 90.00 90.00 159.02
Sites, in units of the cell vectors:
Ca (0.218, 0.782, 0.750)
Ca (0.782, 0.218, 0.250)
La (0.106, 0.894, 0.250)
La (0.448, 0.552, 0.250)
La (0.552, 0.448, 0.750)
La (0.894, 0.106, 0.750)



DFT (PBEsol) results for a geometry-optimized Ca3La structure.

Summary:
Its space group is P-6m2 (187). As for the volume: 154 Å³/cell. For the density of states at the Fermi level, the calculation gives 7.42 states/eV/f.u. For the formation energy, the calculation gives 0.0580 eV per atom.

abc: 3.754 3.754 12.642
angles: 90.00 90.00 120.00
Sites, in units of the cell vectors:
Ca (0.000, 0.000, 0.000)
Ca (0.667, 0.333, 0.255)
Ca (0.667, 0.333, 0.745)
La (0.000, 0.000, 0.500)



DFT (PBEsol) results for a geometry-optimized Ca3La structure.

Summary:
Its space group is P4/mmm (123). As for the volume: 154 Å³/cell. For the density of states at the Fermi level, the calculation gives 5.89 states/eV/f.u. For the formation energy, the calculation gives 0.0833 eV per atom.

abc: 4.253 4.253 8.524
angles: 90.00 90.00 90.00
Sites, in units of the cell vectors:
Ca (0.000, 0.000, 0.000)
Ca (0.500, 0.500, 0.254)
Ca (0.500, 0.500, 0.746)
La (0.000, 0.000, 0.500)



DFT (PBEsol) results for a geometry-optimized Ca3La structure.

Summary:
Its space group is Cmmm (65). As for the volume: 154 Å³/cell. For the density of states at the Fermi level, the calculation gives 6.31 states/eV/f.u. For the formation energy, the calculation gives 0.0689 eV per atom.

abc: 3.651 3.651 12.438
angles: 90.00 90.00 111.59
Sites, in units of the cell vectors:
Ca (0.000, 0.000, 0.000)
Ca (0.500, 0.500, 0.254)
Ca (0.500, 0.500, 0.746)
La (0.000, 0.000, 0.500)



DFT (PBEsol) results for a geometry-optimized Ca2La structure.

Summary:
Its space group is P6/mmm (191). As for the volume: 113 Å³/cell. For the density of states at the Fermi level, the calculation gives 4.13 states/eV/f.u. For the formation energy, the calculation gives 0.0977 eV per atom.

abc: 6.044 6.044 3.577
angles: 90.00 90.00 120.00
Sites, in units of the cell vectors:
Ca (0.333, 0.667, 0.000)
Ca (0.667, 0.333, 0.000)
La (0.000, 0.000, 0.500)



DFT (PBEsol) results for a geometry-optimized Ca3La structure.

Summary:
Its space group is R-3m (166). As for the volume: 154 Å³/cell. For the density of states at the Fermi level, the calculation gives 6.15 states/eV/f.u. For the formation energy, the calculation gives 0.0469 eV per atom.

abc: 12.759 12.759 12.759
angles: 16.92 16.92 16.92
Sites, in units of the cell vectors:
Ca (0.000, 0.000, 0.000)
Ca (0.249, 0.249, 0.249)
Ca (0.751, 0.751, 0.751)
La (0.500, 0.500, 0.500)



DFT (PBEsol) results for a geometry-optimized Li2CaLa structure.

Summary:
Its space group is Imm2 (44). As for the volume: 115 Å³/cell. For the density of states at the Fermi level, the calculation gives 4.73 states/eV/f.u. For the formation energy, the calculation gives 0.1184 eV per atom.

abc: 6.592 6.592 6.592
angles: 148.82 128.82 61.16
Sites, in units of the cell vectors:
Li (0.000, 0.000, 0.000)
Li (0.814, 0.314, 0.500)
Ca (0.259, 0.759, 0.500)
La (0.555, 0.555, 0.000)



DFT (PBEsol) results for a geometry-optimized LiCaLa2 structure.

Summary:
Its space group is Immm (71). As for the volume: 127 Å³/cell. For the density of states at the Fermi level, the calculation gives 4.85 states/eV/f.u. For the formation energy, the calculation gives 0.0601 eV per atom.

abc: 7.000 7.000 7.000
angles: 149.80 132.31 57.49
Sites, in units of the cell vectors:
Li (0.000, 0.000, 0.000)
Ca (0.500, 0.500, 0.000)
La (0.223, 0.723, 0.500)
La (0.777, 0.277, 0.500)



DFT (PBEsol) results for a geometry-optimized LiCaLa structure.

Summary:
Its space group is F-43m (216). As for the volume: 105 Å³/cell. For the density of states at the Fermi level, the calculation gives 5.25 states/eV/f.u. For the formation energy, the calculation gives 0.4219 eV per atom.

abc: 5.303 5.303 5.303
angles: 60.00 60.00 60.00
Sites, in units of the cell vectors:
Li (0.000, 0.000, 0.000)
Ca (0.250, 0.250, 0.250)
La (0.750, 0.750, 0.750)



DFT (PBEsol) results for a geometry-optimized Li2CaLa structure.

Summary:
Its space group is P4mm (99). As for the volume: 114 Å³/cell. For the density of states at the Fermi level, the calculation gives 3.54 states/eV/f.u. For the formation energy, the calculation gives 0.0754 eV per atom.

abc: 3.682 3.682 8.433
angles: 90.00 90.00 90.00
Sites, in units of the cell vectors:
Li (0.000, 0.000, 0.000)
Li (0.500, 0.500, 0.154)
Ca (0.000, 0.000, 0.417)
La (0.500, 0.500, 0.744)



DFT (PBEsol) results for a geometry-optimized Li2CaLa structure.

Summary:
Its space group is P4/mmm (123). As for the volume: 115 Å³/cell. For the density of states at the Fermi level, the calculation gives 4.46 states/eV/f.u. For the formation energy, the calculation gives 0.0973 eV per atom.

abc: 3.776 3.776 8.072
angles: 90.00 90.00 90.00
Sites, in units of the cell vectors:
Li (0.000, 0.000, 0.248)
Li (0.000, 0.000, 0.752)
Ca (0.500, 0.500, 0.500)
La (0.500, 0.500, 0.000)



DFT (PBEsol) results for a geometry-optimized LiCaLa2 structure.

Summary:
Its space group is P4mm (99). As for the volume: 129 Å³/cell. For the density of states at the Fermi level, the calculation gives 4.96 states/eV/f.u. For the formation energy, the calculation gives 0.0570 eV per atom.

abc: 3.641 3.641 9.711
angles: 90.00 90.00 90.00
Sites, in units of the cell vectors:
Li (0.000, 0.000, 0.000)
Ca (0.500, 0.500, 0.226)
La (0.000, 0.000, 0.521)
La (0.500, 0.500, 0.773)



DFT (PBEsol) results for a geometry-optimized CaLaMg structure.

Summary:
Its space group is I4mm (107). As for the volume: 98 Å³/cell. For the density of states at the Fermi level, the calculation gives 3.32 states/eV/f.u. For the formation energy, the calculation gives -0.0081 eV per atom.

abc: 7.665 7.665 7.665
angles: 152.20 152.20 39.72
Sites, in units of the cell vectors:
Ca (0.000, 0.000, 0.000)
La (0.698, 0.698, 0.000)
Mg (0.348, 0.348, 0.000)



DFT (PBEsol) results for a geometry-optimized CaLa2Mg2 structure.

Summary:
Its space group is P4/mbm (127). As for the volume: 320 Å³/cell. For the density of states at the Fermi level, the calculation gives 4.35 states/eV/f.u. For the formation energy, the calculation gives 0.0117 eV per atom.

abc: 9.556 9.556 3.502
angles: 90.00 90.00 90.00
Sites, in units of the cell vectors:
Ca (0.000, 0.000, 0.000)
Ca (0.500, 0.500, 0.000)
La (0.173, 0.327, 0.500)
La (0.327, 0.827, 0.500)
La (0.673, 0.173, 0.500)
La (0.827, 0.673, 0.500)
Mg (0.120, 0.620, 0.000)
Mg (0.380, 0.120, 0.000)
Mg (0.620, 0.880, 0.000)
Mg (0.880, 0.380, 0.000)



DFT (PBEsol) results for a geometry-optimized Ca2LaMg structure.

Summary:
Its space group is P4/mmm (123). As for the volume: 136 Å³/cell. For the density of states at the Fermi level, the calculation gives 5.70 states/eV/f.u. For the formation energy, the calculation gives 0.0292 eV per atom.

abc: 3.620 3.620 10.343
angles: 90.00 90.00 90.00
Sites, in units of the cell vectors:
Ca (0.000, 0.000, 0.225)
Ca (0.000, 0.000, 0.775)
La (0.500, 0.500, 0.500)
Mg (0.500, 0.500, 0.000)



DFT (PBEsol) results for a geometry-optimized CaLaMg2 structure.

Summary:
Its space group is Imm2 (44). As for the volume: 120 Å³/cell. For the density of states at the Fermi level, the calculation gives 4.65 states/eV/f.u. For the formation energy, the calculation gives -0.0132 eV per atom.

abc: 6.709 6.709 6.709
angles: 148.50 129.76 60.51
Sites, in units of the cell vectors:
Ca (0.000, 0.000, 0.000)
La (0.714, 0.214, 0.500)
Mg (0.253, 0.753, 0.500)
Mg (0.459, 0.459, 0.000)



DFT (PBEsol) results for a geometry-optimized CaLaMg4 structure.

Summary:
Its space group is F-43m (216). As for the volume: 164 Å³/cell. For the density of states at the Fermi level, the calculation gives 3.74 states/eV/f.u. For the formation energy, the calculation gives -0.1124 eV per atom.

abc: 6.150 6.150 6.150
angles: 60.00 60.00 60.00
Sites, in units of the cell vectors:
Ca (0.000, 0.000, 0.000)
La (0.250, 0.250, 0.250)
Mg (0.127, 0.624, 0.624)
Mg (0.624, 0.127, 0.624)
Mg (0.624, 0.624, 0.127)
Mg (0.624, 0.624, 0.624)



DFT (PBEsol) results for a geometry-optimized CaLaMg2 structure.

Summary:
Its space group is Fm-3m (225). As for the volume: 120 Å³/cell. For the density of states at the Fermi level, the calculation gives 3.99 states/eV/f.u. For the formation energy, the calculation gives -0.0960 eV per atom.

abc: 5.538 5.538 5.538
angles: 60.00 60.00 60.00
Sites, in units of the cell vectors:
Ca (0.000, 0.000, 0.000)
La (0.500, 0.500, 0.500)
Mg (0.250, 0.250, 0.250)
Mg (0.750, 0.750, 0.750)



DFT (PBEsol) results for a geometry-optimized Ca2LaMg structure.

Summary:
Its space group is Pmmm (47). As for the volume: 136 Å³/cell. For the density of states at the Fermi level, the calculation gives 3.75 states/eV/f.u. For the formation energy, the calculation gives 0.0341 eV per atom.

abc: 4.341 5.562 5.627
angles: 90.00 90.00 90.00
Sites, in units of the cell vectors:
Ca (0.000, 0.000, 0.000)
Ca (0.500, 0.500, 0.000)
La (0.000, 0.500, 0.500)
Mg (0.500, 0.000, 0.500)



DFT (PBEsol) results for a geometry-optimized Ca2LaMg structure.

Summary:
Its space group is R-3m (166). As for the volume: 137 Å³/cell. For the density of states at the Fermi level, the calculation gives 6.02 states/eV/f.u. For the formation energy, the calculation gives 0.0691 eV per atom.

abc: 11.919 11.919 11.919
angles: 17.75 17.75 17.75
Sites, in units of the cell vectors:
Ca (0.244, 0.244, 0.244)
Ca (0.756, 0.756, 0.756)
La (0.000, 0.000, 0.000)
Mg (0.500, 0.500, 0.500)



DFT (PBEsol) results for a geometry-optimized Ca2LaMg structure.

Summary:
Its space group is Immm (71). As for the volume: 137 Å³/cell. For the density of states at the Fermi level, the calculation gives 5.63 states/eV/f.u. For the formation energy, the calculation gives 0.0412 eV per atom.

abc: 6.914 6.914 6.914
angles: 147.06 129.65 61.49
Sites, in units of the cell vectors:
Ca (0.225, 0.225, 0.000)
Ca (0.775, 0.775, 0.000)
La (0.500, 0.000, 0.500)
Mg (0.000, 0.500, 0.500)



DFT (PBEsol) results for a geometry-optimized Ca2LaMg structure.

Summary:
Its space group is P4mm (99). As for the volume: 138 Å³/cell. For the density of states at the Fermi level, the calculation gives 4.87 states/eV/f.u. For the formation energy, the calculation gives -0.0027 eV per atom.

abc: 3.747 3.747 9.841
angles: 90.00 90.00 90.00
Sites, in units of the cell vectors:
Ca (0.000, 0.000, 0.000)
Ca (0.500, 0.500, 0.290)
La (0.000, 0.000, 0.573)
Mg (0.500, 0.500, 0.787)



DFT (PBEsol) results for a geometry-optimized CaLaMg2 structure.

Summary:
Its space group is Pmmm (47). As for the volume: 120 Å³/cell. For the density of states at the Fermi level, the calculation gives 3.83 states/eV/f.u. For the formation energy, the calculation gives -0.0790 eV per atom.

abc: 3.941 3.967 7.695
angles: 90.00 90.00 90.00
Sites, in units of the cell vectors:
Ca (0.000, 0.000, 0.000)
La (0.000, 0.000, 0.500)
Mg (0.500, 0.500, 0.252)
Mg (0.500, 0.500, 0.748)



DFT (PBEsol) results for a geometry-optimized CaLa3Mg structure.

Summary:
Its space group is Pm-3m (221). As for the volume: 190 Å³/cell. For the density of states at the Fermi level, the calculation gives 6.70 states/eV/f.u. For the formation energy, the calculation gives 0.7877 eV per atom.

abc: 5.754 5.754 5.754
angles: 90.00 90.00 90.00
Sites, in units of the cell vectors:
Ca (0.000, 0.000, 0.000)
La (0.000, 0.000, 0.500)
La (0.000, 0.500, 0.000)
La (0.500, 0.000, 0.000)
Mg (0.500, 0.500, 0.500)



DFT (PBEsol) results for a geometry-optimized CaLaMg2 structure.

Summary:
Its space group is Pmm2 (25). As for the volume: 121 Å³/cell. For the density of states at the Fermi level, the calculation gives 2.76 states/eV/f.u. For the formation energy, the calculation gives -0.0881 eV per atom.

abc: 3.897 5.563 5.564
angles: 90.00 90.00 90.00
Sites, in units of the cell vectors:
Ca (0.000, 0.000, 0.000)
La (0.000, 0.500, 0.503)
Mg (0.500, 0.000, 0.499)
Mg (0.500, 0.500, 0.004)



DFT (PBEsol) results for a geometry-optimized Ca2LaMg structure.

Summary:
Its space group is F-43m (216). As for the volume: 134 Å³/cell. For the density of states at the Fermi level, the calculation gives 5.15 states/eV/f.u. For the formation energy, the calculation gives 0.0382 eV per atom.

abc: 5.750 5.750 5.750
angles: 60.00 60.00 60.00
Sites, in units of the cell vectors:
Ca (0.000, 0.000, 0.000)
Ca (0.250, 0.250, 0.250)
La (0.750, 0.750, 0.750)
Mg (0.500, 0.500, 0.500)



DFT (PBEsol) results for a geometry-optimized CaLaMg2 structure.

Summary:
Its space group is Cm (8). As for the volume: 121 Å³/cell. For the density of states at the Fermi level, the calculation gives 4.71 states/eV/f.u. For the formation energy, the calculation gives -0.0162 eV per atom.

abc: 6.517 6.517 5.817
angles: 109.90 109.90 31.44
Sites, in units of the cell vectors:
Ca (0.000, 0.000, 0.000)
La (0.789, 0.789, 0.341)
Mg (0.245, 0.245, 0.815)
Mg (0.542, 0.542, 0.531)



DFT (PBEsol) results for a geometry-optimized Ca2LaMgMo structure.

Summary:
Its space group is P4/mmm (123). As for the volume: 179 Å³/cell. For the density of states at the Fermi level, the calculation gives 6.20 states/eV/f.u. For the formation energy, the calculation gives 1.8503 eV per atom.

abc: 5.672 5.672 5.563
angles: 90.00 90.00 90.00
Sites, in units of the cell vectors:
Ca (0.000, 0.500, 0.000)
Ca (0.500, 0.000, 0.000)
La (0.000, 0.000, 0.000)
Mg (0.000, 0.000, 0.500)
Mo (0.500, 0.500, 0.500)